Record 1
# TaInN3 | Alexandria via LeMat-Bulk | PBE | optimized geometry
# **Electronic total energy**: -7.594 eV per atom
data_TaInN3
_chemical_formula_sum 'Ta1 In1 N3'
_cell_length_a 4.0755
_cell_length_b 4.0755
_cell_length_c 4.0755
_cell_angle_alpha 90.00
_cell_angle_beta 90.00
_cell_angle_gamma 90.00
_symmetry_space_group_name_H-M 'P m -3 m'
_symmetry_Int_Tables_number 221
_symmetry_space_group_name_Hall '-P 4 2 3'
loop_
_atom_site_label
_atom_site_fract_x
_atom_site_fract_y
_atom_site_fract_z
Ta1 0.0000 0.0000 0.0000
In1 0.5000 0.5000 0.5000
N1 0.0000 0.0000 0.5000


Record 2
# TaInTe2N | Alexandria via LeMat-Bulk | PBE | optimized geometry
# **Electronic total energy**: -5.869 eV per atom
# **Energy relative to the lowest polymorph listed for this composition**: 0.000 eV per atom
data_TaInTe2N
_chemical_formula_sum 'Ta1 In1 Te2 N1'
_cell_length_a 5.7009
_cell_length_b 5.7009
_cell_length_c 4.0094
_cell_angle_alpha 90.00
_cell_angle_beta 90.00
_cell_angle_gamma 90.00
_symmetry_space_group_name_H-M 'P 4/m m m'
_symmetry_Int_Tables_number 123
_symmetry_space_group_name_Hall '-P 4 2'
loop_
_atom_site_label
_atom_site_fract_x
_atom_site_fract_y
_atom_site_fract_z
Ta1 0.0000 0.0000 0.0000
In1 0.5000 0.5000 0.5000
Te1 0.0000 0.5000 0.0000
N1 0.0000 0.0000 0.5000


Record order is preserved below.
E_form (uncorrected): 0.32, -0.03 eV per atom
Record order is preserved below.
Total magnetization: 0.000, 0.000 μB per atom